[1]
Crystalline Cs2NpCdF6 at its relaxed geometry. Source: Alexandria, functional PBE-GGA.

Geometry as POSCAR:
```
Cs2NpCdF6
1.0
6.914 0.000 0.000
0.000 10.157 0.000
0.000 0.000 8.138
Cs Np Cd F
4 2 2 12
Cartesian
1.728 0.155 1.812
1.728 4.923 1.812
5.185 5.234 6.326
5.185 10.002 6.326
1.728 7.618 6.845
5.185 2.539 1.293
1.728 2.539 5.532
5.185 7.618 2.605
0.081 7.618 5.427
0.256 7.618 0.294
1.728 5.448 6.926
1.728 9.788 6.926
3.201 7.618 0.294
3.376 7.618 5.427
3.538 2.539 2.711
3.713 2.539 7.844
5.185 0.369 1.211
5.185 4.710 1.211
6.657 2.539 7.844
6.832 2.539 2.711
```

Formation energy without anion corrections: -2.804 eV per atom
Final energy: -5.483 eV/atom
N(E_F): 1.16 states/eV/atom

[2]
Crystalline CsCdOF2 at its relaxed geometry. Source: Alexandria, functional PBE-GGA.

Geometry as POSCAR:
```
CsCdOF2
1.0
5.145 0.000 0.000
0.000 5.145 0.000
0.000 0.000 4.602
Cs Cd O F
1 1 1 2
Cartesian
0.000 0.000 0.000
2.573 2.573 2.301
0.000 0.000 2.301
0.000 2.573 0.000
2.573 0.000 0.000
```

Formation energy without anion corrections: -0.536 eV per atom
Final energy: -2.630 eV/atom
N(E_F): 1.40 states/eV/atom

[3]
Crystalline CsCdO2F at its relaxed geometry. Source: Alexandria, functional PBE-GGA.

Geometry as POSCAR:
```
CsCdO2F
1.0
4.479 0.000 0.000
0.000 4.479 0.000
0.000 0.000 5.246
Cs Cd O F
1 1 2 1
Cartesian
0.000 0.000 0.000
2.240 2.240 2.623
0.000 2.240 0.000
2.240 0.000 0.000
0.000 0.000 2.623
```

Formation energy without anion corrections: 0.018 eV per atom
Final energy: -2.694 eV/atom
N(E_F): 0.76 states/eV/atom

[4]
Crystalline CsCdO2F at its relaxed geometry. Source: Alexandria, functional PBE-GGA.

Geometry as POSCAR:
```
CsCdO2F
1.0
4.391 0.000 0.000
0.000 4.391 0.000
0.000 0.000 4.852
Cs Cd O F
1 1 2 1
Cartesian
0.000 0.000 0.000
2.196 2.196 2.426
0.000 2.196 2.426
2.196 0.000 2.426
2.196 2.196 0.000
```

Formation energy without anion corrections: -1.000 eV per atom
Final energy: -3.711 eV/atom
N(E_F): 1.04 states/eV/atom

[5]
Crystalline CsCd2PbF8 at its relaxed geometry. Source: Alexandria, functional PBE-GGA.

Geometry as POSCAR:
```
CsCd2PbF8
1.0
4.230 0.000 0.000
1.280 6.122 0.000
0.879 1.074 8.421
Cs Cd Pb F
1 2 1 8
Cartesian
0.000 0.000 0.000
2.455 2.965 1.821
3.934 4.231 6.600
0.439 0.537 4.210
1.815 5.130 6.218
1.841 4.976 2.687
2.972 3.014 8.221
2.481 1.647 3.698
3.908 5.548 4.722
3.416 4.181 0.200
4.548 2.220 5.734
4.573 2.066 2.203
```

Formation energy without anion corrections: -2.197 eV per atom
Final energy: -3.977 eV/atom
N(E_F): 0.16 states/eV/atom

[6]
Crystalline CsCdPb2F8 at its relaxed geometry. Source: Alexandria, functional PBE-GGA.

Geometry as POSCAR:
```
CsCdPb2F8
1.0
4.269 0.000 0.000
0.000 8.155 0.000
-0.035 0.000 6.030
Cs Cd Pb F
1 1 2 8
Cartesian
0.000 0.000 0.000
0.000 4.078 0.000
2.117 2.124 3.015
2.117 6.031 3.015
-0.019 2.404 4.385
-0.019 5.752 4.385
2.099 0.000 4.219
2.118 4.078 1.415
2.135 0.000 1.810
2.116 4.078 4.614
4.253 2.404 1.644
4.253 5.752 1.644
```

Formation energy without anion corrections: -2.232 eV per atom
Final energy: -4.245 eV/atom
N(E_F): 0.32 states/eV/atom

[7]
Crystalline Cs4Cd3PbF12 at its relaxed geometry. Source: Alexandria, functional PBE-GGA.

Geometry as POSCAR:
```
Cs4Cd3PbF12
1.0
-4.643 4.643 4.643
4.643 -4.643 4.643
4.643 4.643 -4.643
Cs Cd Pb F
4 3 1 12
Cartesian
2.321 2.321 -2.321
2.321 -2.321 2.321
-2.321 2.321 2.321
2.321 2.321 2.321
4.643 0.000 0.000
0.000 4.643 0.000
0.000 0.000 4.643
0.000 0.000 0.000
2.420 0.000 0.000
6.865 0.000 0.000
4.643 2.321 0.000
4.643 0.000 2.321
0.000 2.420 0.000
0.000 0.000 2.420
2.321 4.643 0.000
2.321 0.000 4.643
0.000 6.865 0.000
0.000 0.000 6.865
0.000 4.643 2.321
0.000 2.321 4.643
```

Formation energy without anion corrections: -2.482 eV per atom
Final energy: -4.098 eV/atom
N(E_F): 0.00 states/eV/atom

[8]
Crystalline CsCdPbF6 at its relaxed geometry. Source: Alexandria, functional PBE-GGA.

Geometry as POSCAR:
```
CsCdPbF6
1.0
3.108 -5.390 0.000
3.108 5.390 0.000
-0.008 0.000 6.093
Cs Cd Pb F
1 1 1 6
Cartesian
0.000 0.000 0.000
3.104 -1.795 3.046
3.104 1.796 3.046
4.307 -3.304 1.829
1.903 3.302 4.264
4.305 3.302 1.828
2.405 0.002 4.268
3.803 0.002 1.825
1.901 -3.304 4.264
```

Formation energy without anion corrections: -2.282 eV per atom
Final energy: -4.138 eV/atom
N(E_F): 0.39 states/eV/atom

[9]
Crystalline Cs2CdPdF6 at its relaxed geometry. Source: Alexandria, functional PBE-GGA.

Geometry as POSCAR:
```
Cs2CdPdF6
1.0
6.461 0.000 0.000
-3.231 5.596 0.000
0.000 0.000 5.927
Cs Cd Pd F
2 1 1 6
Cartesian
0.000 3.730 1.184
3.231 1.865 4.743
0.000 0.000 2.964
0.000 0.000 0.000
0.000 1.692 4.492
-1.766 4.750 4.492
1.465 0.846 1.435
1.766 4.750 4.492
4.996 0.846 1.435
3.231 3.904 1.435
```

Offset from the most stable computed form: 0.58 eV per formula unit
Formation energy without anion corrections: -2.094 eV per atom
Final energy: -3.998 eV/atom

[10]
Crystalline Cs2CdPdF6 at its relaxed geometry. Source: Alexandria, functional PBE-GGA.

Geometry as POSCAR:
```
Cs2CdPdF6
1.0
-3.082 3.082 5.249
3.082 -3.082 5.249
3.082 3.082 -5.249
Cs Cd Pd F
2 1 1 6
Cartesian
3.082 0.000 2.624
0.000 3.082 2.624
0.000 0.000 0.000
0.000 0.000 5.249
0.000 0.000 2.124
1.657 1.657 0.000
1.425 -1.425 5.249
-1.425 1.425 5.249
1.425 1.425 5.249
0.000 0.000 8.373
```

Offset from the most stable computed form: 0.00 eV per formula unit
Formation energy without anion corrections: -2.152 eV per atom
Final energy: -4.056 eV/atom
N(E_F): 0.00 states/eV/atom

[11]
Crystalline CsCdPdF6 at its relaxed geometry. Source: Alexandria, functional PBE-GGA.

Geometry as POSCAR:
```
CsCdPdF6
1.0
-3.842 4.199 5.266
3.842 -4.199 5.266
3.842 4.199 -5.266
Cs Cd Pd F
2 2 2 12
Cartesian
0.000 2.100 1.493
3.842 2.100 3.773
1.921 2.100 -2.633
1.921 -2.100 2.633
3.842 0.000 0.000
0.000 0.000 5.266
3.842 -2.100 3.683
2.424 -0.195 1.386
5.261 -0.195 1.386
3.842 2.100 0.267
2.424 4.005 -1.386
1.418 -0.195 3.880
2.424 4.394 1.386
1.418 0.195 6.652
0.000 2.100 4.999
-1.418 4.394 3.880
1.418 4.394 3.880
0.000 6.299 1.583
```

Formation energy without anion corrections: -1.984 eV per atom
Final energy: -4.005 eV/atom
N(E_F): 0.00 states/eV/atom

[12]
Crystalline Cs2PmCd3F12 at its relaxed geometry. Source: Alexandria, functional PBE-GGA.

Geometry as POSCAR:
```
Cs2PmCd3F12
1.0
4.045 2.335 6.855
-4.045 2.335 6.855
0.000 -4.671 6.855
Cs Pm Cd F
2 1 3 12
Cartesian
0.000 0.000 2.291
0.000 0.000 18.276
0.000 0.000 10.283
-2.022 -1.168 6.855
-2.022 1.168 13.711
0.000 2.335 6.855
-1.662 -0.960 9.079
0.000 -1.904 6.483
-1.649 0.952 6.483
-1.649 -0.952 14.083
0.000 -1.920 11.487
-1.662 0.960 11.487
1.662 -0.960 9.079
0.000 1.920 9.079
1.649 0.952 6.483
1.649 -0.952 14.083
0.000 1.904 14.083
1.662 0.960 11.487
```

Formation energy without anion corrections: -2.617 eV per atom
Final energy: -4.375 eV/atom
N(E_F): 0.50 states/eV/atom

[13]
Crystalline Cs2PmCdF6 at its relaxed geometry. Source: Alexandria, functional PBE-GGA.

Geometry as POSCAR:
```
Cs2PmCdF6
1.0
0.000 4.840 4.840
4.840 0.000 4.840
4.840 4.840 0.000
Cs Pm Cd F
2 1 1 6
Cartesian
2.420 2.420 2.420
7.259 7.259 7.259
0.000 0.000 0.000
4.840 4.840 4.840
4.840 4.840 2.266
4.840 2.266 4.840
7.414 4.840 4.840
2.266 4.840 4.840
4.840 7.414 4.840
4.840 4.840 7.414
```

Formation energy without anion corrections: -2.937 eV per atom
Final energy: -4.797 eV/atom
N(E_F): 0.15 states/eV/atom

[14]
Crystalline Cs2CdPtF6 at its relaxed geometry. Source: Alexandria, functional PBE-GGA.

Geometry as POSCAR:
```
Cs2CdPtF6
1.0
0.000 4.537 4.537
4.537 0.000 4.537
4.537 4.537 0.000
Cs Cd Pt F
2 1 1 6
Cartesian
2.269 2.269 2.269
6.806 6.806 6.806
0.000 0.000 0.000
4.537 4.537 4.537
4.537 4.537 2.276
4.537 2.276 4.537
6.798 4.537 4.537
2.276 4.537 4.537
4.537 6.798 4.537
4.537 4.537 6.798
```

Formation energy without anion corrections: -1.998 eV per atom
Final energy: -3.987 eV/atom
N(E_F): 0.00 states/eV/atom

[15]
Crystalline Cs3PuCd2F9 at its relaxed geometry. Source: Alexandria, functional PBE-GGA.

Geometry as POSCAR:
```
Cs3PuCd2F9
1.0
6.647 0.000 0.000
-3.323 5.756 0.000
0.000 0.000 8.198
Cs Pu Cd F
3 1 2 9
Cartesian
0.000 0.000 0.000
0.000 3.838 5.638
3.323 1.919 2.561
0.000 0.000 4.099
0.000 3.838 1.314
3.323 1.919 6.884
-1.662 2.878 0.000
0.000 1.891 2.770
-1.686 4.811 2.770
1.638 0.945 5.429
3.323 0.000 0.000
1.662 2.878 0.000
1.686 4.811 2.770
5.009 0.945 5.429
3.323 3.865 5.429
```

Formation energy without anion corrections: -2.664 eV per atom
Final energy: -5.035 eV/atom
N(E_F): 0.49 states/eV/atom

[16]
Crystalline CsPuCdF6 at its relaxed geometry. Source: Alexandria, functional PBE-GGA.

Geometry as POSCAR:
```
CsPuCdF6
1.0
-4.119 4.321 5.951
4.119 -4.321 5.951
4.119 4.321 -5.951
Cs Pu Cd F
2 2 2 12
Cartesian
0.000 2.161 0.663
4.119 2.161 5.287
4.119 0.000 0.000
0.000 0.000 5.951
2.060 2.161 -2.975
2.060 -2.161 2.975
2.381 -0.563 1.359
5.858 -0.563 1.359
4.119 -2.161 3.716
4.119 2.161 0.835
2.381 3.759 -1.359
1.739 -0.563 4.591
2.381 4.884 1.359
1.739 0.563 7.310
0.000 2.161 5.115
0.000 6.482 2.234
-1.739 4.884 4.591
1.739 4.884 4.591
```

Formation energy without anion corrections: -2.931 eV per atom
Final energy: -5.968 eV/atom
N(E_F): 0.59 states/eV/atom

[17]
Crystalline Cs3Rb3CdF8 at its relaxed geometry. Source: Alexandria, functional PBE-GGA.

Geometry as POSCAR:
```
Cs3Rb3CdF8
1.0
4.054 2.340 6.834
-4.054 2.340 6.834
0.000 -4.681 6.834
Cs Rb Cd F
3 3 1 8
Cartesian
-2.027 -1.170 6.834
-2.027 1.170 13.667
0.000 2.340 6.834
-4.054 0.000 10.250
-2.027 1.170 3.417
2.027 1.170 3.417
0.000 0.000 10.250
0.000 0.000 5.004
-1.652 -0.954 11.558
0.000 -1.907 8.942
-1.652 0.954 8.942
1.652 -0.954 11.558
0.000 1.907 11.558
1.652 0.954 8.943
0.000 0.000 15.497
```

Formation energy without anion corrections: -2.585 eV per atom
Final energy: -4.008 eV/atom
N(E_F): 0.00 states/eV/atom

[18]
Crystalline CsRb2CdF5 at its relaxed geometry. Source: Alexandria, functional PBE-GGA.

Geometry as POSCAR:
```
CsRb2CdF5
1.0
-2.237 3.334 6.648
2.237 -3.334 6.648
2.237 3.334 -6.648
Cs Rb Cd F
1 2 1 5
Cartesian
0.000 0.000 0.000
2.237 0.000 3.800
0.000 3.334 2.848
0.000 0.000 6.648
2.237 1.775 -1.665
2.237 1.775 1.665
0.000 3.334 0.000
0.000 1.559 4.983
0.000 1.559 8.313
```

Formation energy without anion corrections: -2.558 eV per atom
Final energy: -4.010 eV/atom
N(E_F): 0.00 states/eV/atom

[19]
Crystalline Cs2RbCdF6 at its relaxed geometry. Source: Alexandria, functional PBE-GGA.

Geometry as POSCAR:
```
Cs2RbCdF6
1.0
6.828 0.000 0.000
0.000 9.662 0.000
0.000 0.000 6.846
Cs Rb Cd F
4 2 2 12
Cartesian
1.707 0.003 1.709
1.707 4.828 1.709
5.121 9.659 5.138
5.121 4.834 5.138
1.707 2.415 5.128
5.121 7.246 1.719
1.707 7.246 5.142
5.121 2.415 1.704
0.166 7.246 3.605
0.167 7.246 6.681
1.707 5.069 5.145
1.707 9.423 5.145
3.249 7.246 3.605
3.247 7.246 6.681
3.581 2.415 0.165
3.580 2.415 3.242
5.121 0.238 1.702
5.121 4.592 1.702
6.661 2.415 0.165
6.663 2.415 3.242
```

Formation energy without anion corrections: -2.339 eV per atom
Final energy: -3.821 eV/atom
N(E_F): 0.52 states/eV/atom